VASP calculation (PBE with a Hubbard U) on an optimized crystal structure of CrSnO2.

extended XYZ file:
```
16
Lattice="5.503 0.000 0.000 0.000 8.126 0.000 0.000 0.000 5.453" Properties=species:S:1:pos:R:3 pbc="T T T"
Cr 0.446 7.376 0.139
Cr 2.306 3.313 2.865
Cr 3.198 4.813 0.139
Cr 5.057 0.750 2.865
O 0.598 7.071 3.273
O 3.806 2.161 3.660
O 3.350 5.118 3.273
O 1.698 5.965 0.934
O 4.450 6.224 0.934
O 1.054 1.902 3.660
O 2.154 3.008 0.547
O 4.905 1.055 0.547
Sn 0.024 2.948 5.196
Sn 2.776 1.115 5.196
Sn 2.727 7.011 2.469
Sn 5.479 5.178 2.469
```

## Properties
Total magnetization = 1.000 μB/atom
Energy = -6.63 eV/atom
DOS at the Fermi energy = 0.000 states/eV per atom